A plane-wave DFT calculation with PBE+U was carried out for K3V2AgO8 after structural relaxation.

As for the uncorrected energy: -5.88 eV/atom. The value obtained for the total magnetic moment is 0.136 μB per atom.

Cell lengths 5.8939, 5.8939, 7.6209 Å; angles 90.00, 90.00, 120.00 degrees
With the nearest neighbours (Å) after each atom.
Fractional coordinates of all 14 atoms:
K1 0.3333 0.6667 0.6880  1 O 2.59
K2 0.6667 0.3333 0.3120  1 O 2.59
K3 0.0000 0.0000 0.0000  6 O 2.98
V1 0.3333 0.6667 0.2478  4 O 1.68-1.77
V2 0.6667 0.3333 0.7522  4 O 1.68-1.77
Ag1 0.0000 0.0000 0.5000  6 O 2.21
O1 0.3333 0.6667 0.0274  1 V 1.68
O2 0.6667 0.3333 0.9726  1 V 1.68
O3 0.1689 0.8311 0.3195  1 V 1.77
O4 0.8311 0.1689 0.6805  1 V 1.77
O5 0.1689 0.3378 0.3195  1 V 1.77
O6 0.8311 0.6622 0.6805  1 V 1.77
O7 0.6622 0.8311 0.3195  1 V 1.77
O8 0.3378 0.1689 0.6805  1 V 1.77